Density functional theory data (PBE-GGA) for a geometry-optimized Ta4CdPbC2 structure.

Results
The calculation puts the theoretical density at 13.722 Mg/m³. As for the total DFT energy (no corrections): -72.30 eV for the cell shown.

```
Ta4CdPbC2
1.0
-1.108 -0.826 -2.908
2.504 -1.572 1.274
-9.012 -9.410 6.106
C Ta Pb Cd
2 4 1 1
direct
0.333 0.667 0.252
0.333 0.667 0.748
0.000 0.000 0.669
0.000 0.000 0.331
0.667 0.333 0.170
0.667 0.333 0.830
0.000 0.000 0.000
0.667 0.333 0.500
```

Density functional theory data (PBE-GGA) for a geometry-optimized NiH16C26S2N2Cl4 structure.

Results
The calculation puts the theoretical density at 1.632 Mg/m³. As for the total DFT energy (no corrections): -662.92 eV for the cell shown.

```
NiH16C26S2N2Cl4
1.0
12.128 0.000 0.000
0.000 8.297 0.000
-10.581 0.000 12.561
N C H Cl S Ni
4 52 32 8 4 2
direct
0.130 0.277 0.792
0.870 0.723 0.208
0.130 0.723 0.292
0.870 0.277 0.708
0.510 0.689 0.409
0.435 0.031 0.874
0.859 0.663 0.478
0.539 0.147 0.908
0.733 0.245 0.666
0.733 0.755 0.166
0.298 0.922 0.337
0.797 0.453 0.898
0.267 0.755 0.334
0.859 0.337 0.978
0.203 0.547 0.102
0.539 0.853 0.408
0.917 0.564 0.204
0.203 0.453 0.602
0.141 0.337 0.522
0.225 0.607 0.580
0.899 0.372 0.077
0.876 0.527 0.097
0.565 0.031 0.626
0.623 0.361 0.626
0.461 0.147 0.592
0.124 0.473 0.903
0.101 0.372 0.423
0.377 0.361 0.874
0.702 0.078 0.663
0.814 0.645 0.018
0.461 0.853 0.092
0.267 0.245 0.834
0.435 0.969 0.374
0.775 0.607 0.920
0.510 0.311 0.909
0.083 0.436 0.796
0.917 0.436 0.704
0.565 0.969 0.126
0.141 0.663 0.022
0.814 0.355 0.518
0.083 0.564 0.296
0.225 0.393 0.080
0.775 0.393 0.420
0.899 0.628 0.577
0.377 0.639 0.374
0.490 0.311 0.591
0.186 0.645 0.482
0.298 0.078 0.837
0.186 0.355 0.982
0.124 0.527 0.403
0.797 0.547 0.398
0.702 0.922 0.163
0.490 0.689 0.091
0.876 0.473 0.597
0.623 0.639 0.126
0.101 0.628 0.923
0.204 0.233 0.968
0.645 0.110 0.936
0.764 0.423 0.820
0.054 0.277 0.364
0.131 0.469 0.279
0.642 0.511 0.123
0.406 0.599 0.061
0.946 0.723 0.636
0.594 0.599 0.439
0.642 0.489 0.623
0.645 0.890 0.436
0.459 0.903 0.877
0.358 0.489 0.877
0.355 0.890 0.064
0.594 0.401 0.939
0.764 0.577 0.320
0.131 0.531 0.779
0.236 0.423 0.680
0.541 0.097 0.123
0.869 0.531 0.721
0.236 0.577 0.180
0.355 0.110 0.564
0.054 0.723 0.864
0.946 0.277 0.136
0.358 0.511 0.377
0.406 0.401 0.561
0.541 0.903 0.623
0.869 0.469 0.221
0.796 0.233 0.532
0.459 0.097 0.377
0.204 0.767 0.468
0.796 0.767 0.032
0.115 0.145 0.548
0.302 0.753 0.678
0.698 0.247 0.322
0.885 0.145 0.952
0.302 0.247 0.178
0.885 0.855 0.452
0.698 0.753 0.822
0.115 0.855 0.048
0.162 0.054 0.297
0.838 0.054 0.203
0.162 0.946 0.797
0.838 0.946 0.703
0.000 0.116 0.750
0.000 0.884 0.250
```